(1)
Li2CdIr | PBEsol | relaxed

Summary:
- Magnetization: 0.0 Bohr magnetons per cell
- E: -14.95 eV per cell
- Density: 9.5 Mg/m³
- Calculated formation energy: 0.002 eV per atom

Lattice parameters (Å, degrees): 3.1448 3.1448 5.6347 90.00 90.00 90.00
With the nearest neighbours (Å) after each atom.
Fractional coordinates of all 4 atoms:
1 Ir 0.5000 0.5000 0.5000  8 Li 2.53, 2 Cd 2.82
2 Li 0.0000 0.0000 0.7157  1 Li 2.43, 4 Ir 2.53
3 Li 0.0000 0.0000 0.2843  1 Li 2.43, 4 Ir 2.53
4 Cd 0.5000 0.5000 0.0000  8 Li 2.74, 2 Ir 2.82

***

(2)
MnFe | PBEsol | relaxed

Summary:
- Magnetization: 0.0 Bohr magnetons per cell
- E: -18.66 eV per cell
- Density: 9.0 Mg/m³
- Calculated formation energy: 0.033 eV per atom

Lattice parameters (Å, degrees): 2.4320 2.4320 3.4696 90.00 90.00 90.00
With the nearest neighbours (Å) after each atom.
Fractional coordinates of all 2 atoms:
1 Mn 0.5000 0.5000 0.5000  4 Mn 2.43, 8 Fe 2.44
2 Fe 0.0000 0.0000 0.0000  4 Fe 2.43, 8 Mn 2.44

***

(3)
Cr2NiIr | PBEsol | relaxed

Summary:
- Magnetization: 0.0 Bohr magnetons per cell
- E: -36.64 eV per cell
- Density: 12.5 Mg/m³
- Calculated formation energy: -0.045 eV per atom

Lattice parameters (Å, degrees): 2.5738 4.4395 4.4395 111.10 90.00 90.00
With the nearest neighbours (Å) after each atom.
Fractional coordinates of all 4 atoms:
1 Ir 0.5000 0.0000 0.0000  2 Ni 2.51, 8 Cr 2.57, 2 Ir 2.57
2 Cr 0.0000 0.5000 0.0000  4 Cr 2.51-2.57, 4 Ni 2.57, 4 Ir 2.57
3 Cr 0.0000 0.0000 0.5000  4 Cr 2.51-2.57, 4 Ir 2.57, 4 Ni 2.57
4 Ni 0.5000 0.5000 0.5000  2 Ir 2.51, 8 Cr 2.57, 2 Ni 2.57

***

(4)
MnSbI2O | PBEsol | relaxed

Summary:
- Magnetization: 4.1 Bohr magnetons per cell
- E: -24.49 eV per cell
- Density: 6.3 Mg/m³

Lattice parameters (Å, degrees): 3.6356 5.6748 5.6748 90.00 90.00 90.00
With the nearest neighbours (Å) after each atom.
Fractional coordinates of all 5 atoms:
1 Sb 0.5000 0.5000 0.5000  8 I 3.37, 2 Sb 3.64
2 O 0.5000 0.0000 0.0000  2 Mn 1.82
3 Mn 0.0000 0.0000 0.0000  2 O 1.82
4 I 0.0000 0.0000 0.5000  2 Mn 2.84
5 I 0.0000 0.5000 0.0000  2 Mn 2.84

***

(5)
LaBeSb | PBEsol | relaxed

Summary:
- Magnetization: 0.0 Bohr magnetons per cell
- E: -14.47 eV per cell
- Density: 6.4 Mg/m³

Lattice parameters (Å, degrees): 3.6314 3.6314 5.9483 103.23 103.23 104.49
With the nearest neighbours (Å) after each atom.
Fractional coordinates of all 3 atoms:
1 La 0.3387 0.3387 0.6773  2 Be 3.05, 3 Sb 3.18-3.25
2 Sb 0.6330 0.6330 0.2661  2 Be 2.51
3 Be 0.0283 0.0283 0.0566  2 Sb 2.51

***

(6)
MoHRu3 | PBEsol | relaxed

Summary:
- Magnetization: 0.0 Bohr magnetons per cell
- E: -45.75 eV per cell
- Density: 11.7 Mg/m³

Lattice parameters (Å, degrees): 3.8486 3.8486 3.8486 90.00 90.00 90.00
With the nearest neighbours (Å) after each atom.
Fractional coordinates of all 5 atoms:
1 Ru 0.5000 0.0000 0.0000  2 H 1.92
2 Ru 0.0000 0.5000 0.0000  2 H 1.92
3 Ru 0.0000 0.0000 0.5000  2 H 1.92
4 H 0.0000 0.0000 0.0000  6 Ru 1.92
5 Mo 0.5000 0.5000 0.5000  12 Ru 2.72